Computed, not measured: an optimized crystal structure of CdNiRu2 at the PBE level of DFT.

Properties
The value obtained for the density of states at the Fermi level is 3.7 states/eV/cell.

Unit cell a=2.779 b=3.701 c=5.760 alpha=90.00 beta=90.00 gamma=90.00
Space group Pmm2 (No. 25)
One atom of each set of equivalent atoms:
Cd: 0.000 0.000 0.000 x1
Ni: 0.500 0.500 0.255 x1
Ru: 0.000 0.000 0.493 x1
Ru: 0.500 0.500 0.693 x1

***

Computed, not measured: an optimized crystal structure of Ac2Ga3Pd2 at the PBE level of DFT.

Properties
The value obtained for the density of states at the Fermi level is 8.8 states/eV/cell. For the excess energy over the best structure of this formula in the dataset, the calculation gives 0.4 kJ/mol of atoms.

Unit cell a=11.393 b=4.376 c=6.929 alpha=90.00 beta=102.85 gamma=90.00
Space group C2/m (No. 12)
One atom of each set of equivalent atoms:
Ac: 0.175 0.000 0.239 x4
Ga: 0.000 0.500 0.500 x2
Ga: 0.070 0.500 0.885 x4
Pd: 0.097 0.000 0.688 x4

***

| no. | calculated formation energy (kJ/mol of formula units) |
| --- | --- |
| 1 | 78 |
| 2 | -466 |